LaMoAs2O8: relaxed, PBE with a Hubbard U.

As for the mass density: 4.58 Mg/m³. Its density of states at the Fermi level is 0.0000 states/eV per atom. For the total magnetization, the calculation gives 3.000 μB per formula unit. The calculation puts the final energy at -6.89 eV/atom.

The structure belongs to space group P-3m1 (No. 164); the cell edges are 5.4891, 5.4891 and 7.1298 Å and the angles 90.00°, 90.00° and 120.00°. The inequivalent atoms are La at (0.0000, 0.0000, 0.0000), Mo at (0.0000, 0.0000, 0.5000), As at (0.3333, 0.6667, 0.2192), O at (0.1606, 0.3212, 0.2898) and O at (0.3333, 0.6667, 0.9819).